# 1
The following is a DFT calculation (PBE-GGA) of crystalline Na2GaSn at its relaxed geometry.

The calculation puts the density of states at the Fermi level at 3.27 states/eV/f.u. For the energy above the most stable polymorph in this dataset, the calculation gives 38 kJ/mol of formula units. Its raw total energy is -2.44 eV per atom. The volume is 99.29 Å³/f.u. The formation energy is -0.03 eV per atom.

The structure belongs to space group Fm-3m (No. 225); the cell edges are 7.3505, 7.3505 and 7.3505 Å and the angles 90.00°, 90.00° and 90.00°. Symmetry generates all atoms from Na at (0.2500, 0.2500, 0.2500), Ga at (0.0000, 0.0000, 0.0000) and Sn at (0.0000, 0.0000, 0.5000).



# 2
The following is a DFT calculation (PBE-GGA) of crystalline AcPuPd at its relaxed geometry.

The calculation puts the density of states at the Fermi level at 11.80 states/eV/f.u. For the energy above the most stable polymorph in this dataset, the calculation gives 15 kJ/mol of formula units. Its raw total energy is -8.06 eV per atom. The volume is 98.09 Å³/f.u. The formation energy is -0.19 eV per atom.

The structure belongs to space group P3m1 (No. 156); the cell edges are 4.1765, 4.1765 and 6.4932 Å and the angles 90.00°, 90.00° and 120.00°. Symmetry generates all atoms from Ac at (0.0000, 0.0000, 0.0000), Pu at (0.3333, 0.6667, 0.5304) and Pd at (0.6667, 0.3333, 0.2847).



# 3
The following is a DFT calculation (PBE-GGA) of crystalline CsBa2Sn2 at its relaxed geometry.

The calculation puts the density of states at the Fermi level at 4.92 states/eV/f.u. For the energy above the most stable polymorph in this dataset, the calculation gives 109 kJ/mol of formula units. Its raw total energy is -2.69 eV per atom. The volume is 268.00 Å³/f.u. The formation energy is -0.15 eV per atom.

The structure belongs to space group I4/mmm (No. 139); the cell edges are 6.2312, 6.2312 and 13.8048 Å and the angles 90.00°, 90.00° and 90.00°. Symmetry generates all atoms from Cs at (0.0000, 0.0000, 0.0000), Ba at (0.0000, 0.0000, 0.3469) and Sn at (0.0000, 0.5000, 0.2500).



# 4
The following is a DFT calculation (PBE-GGA) of crystalline NbCoSb2 at its relaxed geometry.

The calculation puts the density of states at the Fermi level at 2.79 states/eV/f.u. Its raw total energy is -6.01 eV per atom. The volume is 81.10 Å³/f.u.

The structure belongs to space group R-3m (No. 166, hexagonal axes); the cell edges are 3.1823, 3.1823 and 27.7416 Å and the angles 90.00°, 90.00° and 120.00°. Symmetry generates all atoms from Nb at (0.0000, 0.0000, 0.0000), Co at (0.0000, 0.0000, 0.5000) and Sb at (0.0000, 0.0000, 0.1019).



# 5
The following is a DFT calculation (PBE-GGA) of crystalline Li2Ho3Zn4 at its relaxed geometry.

The calculation puts the density of states at the Fermi level at 7.68 states/eV/f.u. Its raw total energy is -2.72 eV per atom. The volume is 184.81 Å³/f.u. The formation energy is -0.20 eV per atom.

The structure belongs to space group C2/m (No. 12); the cell edges are 10.3089, 4.5683 and 8.6944 Å and the angles 90.00°, 115.48° and 90.00°. Symmetry generates all atoms from Li at (0.1561, 0.0000, 0.3231), Ho at (0.0000, 0.5000, 0.0000), Ho at (0.1512, 0.0000, 0.6872), Zn at (0.0637, 0.5000, 0.3947) and Zn at (0.2316, 0.0000, 0.0679).



# 6
The following is a DFT calculation (PBE-GGA) of crystalline LiCeAg at its relaxed geometry.

The calculation puts the density of states at the Fermi level at 5.05 states/eV/f.u. For the energy above the most stable polymorph in this dataset, the calculation gives 22 kJ/mol of formula units. Its raw total energy is -3.54 eV per atom. The volume is 70.57 Å³/f.u. The formation energy is 0.03 eV per atom.

The structure belongs to space group R-3m (No. 166, hexagonal axes); the cell edges are 4.8732, 4.8732 and 20.5888 Å and the angles 90.00°, 90.00° and 120.00°. Symmetry generates all atoms from Li at (0.0000, 0.0000, 0.2009), Ce at (0.0000, 0.0000, 0.3596) and Ag at (0.0000, 0.0000, 0.0731).



# 7
The following is a DFT calculation (PBE-GGA) of crystalline RbPb2Cl5 at its relaxed geometry.

The calculation puts the density of states at the Fermi level at 0.00 states/eV/f.u. Its raw total energy is -3.56 eV per atom. The volume is 319.42 Å³/f.u.

The structure belongs to space group Cmcm (No. 63); the cell edges are 5.7417, 14.5480 and 15.2961 Å and the angles 90.00°, 90.00° and 90.00°. Symmetry generates all atoms from Rb at (0.0000, 0.2119, 0.2500), Pb at (0.0000, 0.1364, 0.5597), Cl at (0.0000, 0.0495, 0.1069), Cl at (0.0000, 0.1851, 0.7500) and Cl at (0.0000, 0.3170, 0.0513).



# 8
The following is a DFT calculation (PBE-GGA) of crystalline Cs2KHgF6 at its relaxed geometry.

The calculation puts the density of states at the Fermi level at 6.10 states/eV/f.u. For the energy above the most stable polymorph in this dataset, the calculation gives 46 kJ/mol of formula units. Its raw total energy is -3.56 eV per atom. The volume is 252.70 Å³/f.u.

The structure belongs to space group P-3m1 (No. 164); the cell edges are 6.6004, 6.6004 and 6.6979 Å and the angles 90.00°, 90.00° and 120.00°. Symmetry generates all atoms from Cs at (0.3333, 0.6667, 0.3485), K at (0.0000, 0.0000, 0.0000), Hg at (0.0000, 0.0000, 0.5000) and F at (0.1559, 0.3118, 0.6998).



# 9
The following is a DFT calculation (PBE-GGA) of crystalline BaHAu2 at its relaxed geometry.

The calculation puts the density of states at the Fermi level at 1.73 states/eV/f.u. For the energy above the most stable polymorph in this dataset, the calculation gives 0 kJ/mol of formula units. Its raw total energy is -3.15 eV per atom. The volume is 86.74 Å³/f.u.

The structure belongs to space group I-42d (No. 122); the cell edges are 6.2345, 6.2345 and 8.9268 Å and the angles 90.00°, 90.00° and 90.00°. Symmetry generates all atoms from Ba at (0.0000, 0.0000, 0.0000), H at (0.0000, 0.0000, 0.5000) and Au at (0.0035, 0.7500, 0.6250).



# 10
The following is a DFT calculation (PBE-GGA) of crystalline Mg8Sn4Hg at its relaxed geometry.

The calculation puts the density of states at the Fermi level at 5.70 states/eV/f.u. Its raw total energy is -2.39 eV per atom. The volume is 332.79 Å³/f.u. The formation energy is -0.15 eV per atom.

The structure belongs to space group Pm-3m (No. 221); the cell edges are 6.9299, 6.9299 and 6.9299 Å and the angles 90.00°, 90.00° and 90.00°. Symmetry generates all atoms from Mg at (0.2468, 0.2468, 0.2468), Sn at (0.0000, 0.0000, 0.0000), Sn at (0.0000, 0.5000, 0.5000) and Hg at (0.5000, 0.5000, 0.5000).



# 11
The following is a DFT calculation (PBE-GGA) of crystalline Ta2Te at its relaxed geometry.

The calculation puts the density of states at the Fermi level at 2.61 states/eV/f.u. Its raw total energy is -8.34 eV per atom. The volume is 68.44 Å³/f.u.

The structure belongs to space group P6_3/mmc (No. 194); the cell edges are 5.5936, 5.5936 and 10.1034 Å and the angles 90.00°, 90.00° and 120.00°. Symmetry generates all atoms from Ta at (0.0000, 0.0000, 0.0000), Ta at (0.1587, 0.3174, 0.2500) and Te at (0.3333, 0.6667, 0.0090).



# 12
The following is a DFT calculation (PBE-GGA) of crystalline YZn2H at its relaxed geometry.

The calculation puts the density of states at the Fermi level at 3.74 states/eV/f.u. For the energy above the most stable polymorph in this dataset, the calculation gives 0 kJ/mol of formula units. Its raw total energy is -2.98 eV per atom. The volume is 65.78 Å³/f.u.

The structure belongs to space group I4_1/amd (No. 141, origin choice 2); the cell edges are 5.7115, 5.7115 and 8.0656 Å and the angles 90.00°, 90.00° and 90.00°. Symmetry generates all atoms from Y at (0.0000, 0.2500, 0.3750), Zn at (0.0000, 0.0000, 0.0000) and H at (0.0000, 0.2500, 0.8750).